Record 1
Here is an optimized crystal structure of B7C5 from Alexandria. Energies are from GGA-PBE.

Results
For the theoretical density, the calculation gives 2.71 g cm⁻³. The value obtained for the size of the total moment is 0.00 Bohr magnetons per cell. As for the formation energy: 5.7 eV/f.u. Its crystal system is trigonal.

Cell lengths 2.592, 2.592, 14.277 Å; angles 90.00, 90.00, 120.00 degrees
Element x y z (fractional)
B 0.000 0.000 0.000
B 0.000 0.000 0.118
B 0.000 0.000 0.607
B 0.333 0.667 0.193
B 0.667 0.333 0.341
B 0.667 0.333 0.803
B 0.667 0.333 0.922
C 0.000 0.000 0.490
C 0.333 0.667 0.301
C 0.333 0.667 0.652
C 0.333 0.667 0.751
C 0.667 0.333 0.461

***

Record 2
Here is an optimized crystal structure of B3C from Alexandria. Energies are from GGA-PBE.

Results
For the theoretical density, the calculation gives 2.46 g cm⁻³. The value obtained for the size of the total moment is 0.00 Bohr magnetons per cell. As for the formation energy: 1.6 eV/f.u. Its crystal system is monoclinic.

Cell lengths 4.665, 4.665, 8.129 Å; angles 112.74, 112.74, 33.72 degrees
Element x y z (fractional)
B 0.000 0.000 0.000
B 0.197 0.197 0.740
B 0.279 0.279 0.355
B 0.385 0.385 0.756
B 0.410 0.410 0.213
B 0.507 0.507 0.452
B 0.665 0.665 0.362
B 0.720 0.720 0.928
B 0.858 0.858 0.543
C 0.041 0.041 0.572
C 0.542 0.542 0.926
C 0.884 0.884 0.104

***

Record 3
Here is an optimized crystal structure of BC from Alexandria. Energies are from GGA-PBE.

Results
For the theoretical density, the calculation gives 2.50 g cm⁻³. The value obtained for the size of the total moment is 0.00 Bohr magnetons per cell. As for the formation energy: 0.7 eV/f.u. Its crystal system is trigonal.

Cell lengths 2.645, 2.645, 14.999 Å; angles 90.00, 90.00, 120.00 degrees
Element x y z (fractional)
B 0.000 0.000 0.000
B 0.000 0.000 0.113
B 0.333 0.667 0.185
B 0.333 0.667 0.811
B 0.667 0.333 0.297
B 0.667 0.333 0.545
C 0.000 0.000 0.558
C 0.000 0.000 0.670
C 0.333 0.667 0.289
C 0.333 0.667 0.703
C 0.667 0.333 0.857
C 0.667 0.333 0.951

***

Record 4
Here is an optimized crystal structure of BC from Alexandria. Energies are from GGA-PBE.

Results
For the theoretical density, the calculation gives 2.81 g cm⁻³. The value obtained for the size of the total moment is 0.00 Bohr magnetons per cell. As for the formation energy: 0.9 eV/f.u. Its crystal system is orthorhombic.

Cell lengths 2.487, 7.969, 4.083 Å; angles 90.00, 90.00, 90.00 degrees
Element x y z (fractional)
B 0.000 0.079 0.000
B 0.000 0.394 0.036
B 0.000 0.589 0.230
B 0.500 0.411 0.730
B 0.500 0.606 0.536
B 0.500 0.921 0.500
C 0.000 0.251 0.296
C 0.000 0.768 0.997
C 0.000 0.915 0.237
C 0.500 0.085 0.737
C 0.500 0.232 0.497
C 0.500 0.749 0.796

***

| no. | final energy (eV per atom) |
| --- | --- |
| 1 | -7.27 |
| 2 | -6.92 |
| 3 | -7.59 |
| 4 | -7.50 |